A relaxed structure of MgCdPb4. Source: the Alexandria database, functional PBE.

Cell lengths 5.129, 5.129, 8.839 Å; angles 110.11, 110.11, 62.38 degrees
Element x y z (fractional)
Mg: 0.000 0.000 0.000
Cd: 0.500 0.500 0.500
Pb: 0.112 0.112 0.383
Pb: 0.383 0.383 0.109
Pb: 0.617 0.617 0.891
Pb: 0.888 0.888 0.617

Summary:
Crystal system: monoclinic
Mass density, kg/m³: 8499
Volume, Å³/atom: 31.4
Space group: C2/m (12)
Total magnetization, μB/f.u.: 0.0
Distance to the lowest polymorph of the same formula, eV per atom: 0.056
DOS(E_F), states/eV/atom: 0.3730
Total DFT energy (no corrections), eV/atom: -2.8347

A relaxed structure of Dy4Y3Rh4. Source: the Alexandria database, functional PBE.

Cell lengths 9.267, 9.267, 9.267 Å; angles 156.59, 122.81, 62.65 degrees
Element x y z (fractional)
Dy: 0.023 0.835 0.188
Dy: 0.353 0.165 0.188
Dy: 0.647 0.835 0.812
Dy: 0.977 0.165 0.812
Y: 0.000 0.500 0.500
Y: 0.397 0.397 0.000
Y: 0.603 0.603 0.000
Rh: 0.248 0.748 0.500
Rh: 0.290 0.000 0.290
Rh: 0.710 0.000 0.710
Rh: 0.752 0.252 0.500

Summary:
Crystal system: orthorhombic
Mass density, kg/m³: 8354
Volume, Å³/atom: 24.0
Space group: Immm (71)
Total magnetization, μB/f.u.: 0.0
DOS(E_F), states/eV/atom: 0.7158
Total DFT energy (no corrections), eV/atom: -6.7427

A relaxed structure of Pu2Zn3Ni. Source: the Alexandria database, functional PBE.

Cell lengths 5.419, 5.419, 5.419 Å; angles 58.23, 58.23, 58.23 degrees
Element x y z (fractional)
Pu: 0.129 0.129 0.129
Pu: 0.871 0.871 0.871
Zn: 0.000 0.500 0.500
Zn: 0.500 0.000 0.500
Zn: 0.500 0.500 0.000
Ni: 0.500 0.500 0.500

Summary:
Crystal system: trigonal
Mass density, kg/m³: 11431
Volume, Å³/atom: 18.0
Space group: R-3m (166)
Total magnetization, μB/f.u.: 11.3
DOS(E_F), states/eV/atom: 2.5287
Total DFT energy (no corrections), eV/atom: -6.5295

A relaxed structure of Sr2MgAl4Pt3. Source: the Alexandria database, functional PBE.

Cell lengths 4.296, 4.296, 11.263 Å; angles 90.00, 90.00, 90.00 degrees
Element x y z (fractional)
Sr: 0.000 0.500 0.241
Sr: 0.500 0.000 0.759
Mg: 0.000 0.000 0.500
Al: 0.000 0.000 0.000
Al: 0.000 0.500 0.646
Al: 0.500 0.000 0.354
Al: 0.500 0.500 0.000
Pt: 0.000 0.500 0.876
Pt: 0.500 0.000 0.124
Pt: 0.500 0.500 0.500

Summary:
Crystal system: tetragonal
Mass density, kg/m³: 7132
Volume, Å³/atom: 20.8
Space group: P-4m2 (115)
Total magnetization, μB/f.u.: 0.0
DOS(E_F), states/eV/atom: 0.4883
Total DFT energy (no corrections), eV/atom: -4.5941

A relaxed structure of BaLiZnAg. Source: the Alexandria database, functional PBE.

Cell lengths 4.696, 4.696, 6.343 Å; angles 111.60, 111.60, 60.05 degrees
Element x y z (fractional)
Ba: 0.000 0.000 0.000
Li: 0.498 0.498 0.494
Zn: 0.194 0.194 0.582
Ag: 0.808 0.808 0.422

Summary:
Crystal system: monoclinic
Mass density, kg/m³: 4807
Volume, Å³/atom: 27.4
Space group: Cm (8)
Total magnetization, μB/f.u.: 0.0
Distance to the lowest polymorph of the same formula, eV per atom: 0.000
DOS(E_F), states/eV/atom: 0.6347
Total DFT energy (no corrections), eV/atom: -2.2013

A relaxed structure of CaCuAu2. Source: the Alexandria database, functional PBE.

Cell lengths 3.463, 3.463, 6.476 Å; angles 90.00, 90.00, 90.00 degrees
Element x y z (fractional)
Ca: 0.000 0.000 0.000
Cu: 0.000 0.000 0.500
Au: 0.500 0.500 0.286
Au: 0.500 0.500 0.714

Summary:
Crystal system: tetragonal
Mass density, kg/m³: 10640
Volume, Å³/atom: 19.4
Space group: P4/mmm (123)
Total magnetization, μB/f.u.: 0.0
Distance to the lowest polymorph of the same formula, eV per atom: 0.112
DOS(E_F), states/eV/atom: 0.3017
Total DFT energy (no corrections), eV/atom: -3.5565

A relaxed structure of Sr2InAu. Source: the Alexandria database, functional PBE.

Cell lengths 4.613, 4.613, 6.757 Å; angles 90.00, 90.00, 90.00 degrees
Element x y z (fractional)
Sr: 0.000 0.000 0.000
Sr: 0.500 0.500 0.420
In: 0.500 0.500 0.904
Au: 0.000 0.000 0.488

Summary:
Crystal system: tetragonal
Mass density, kg/m³: 5625
Volume, Å³/atom: 35.9
Space group: P4mm (99)
Total magnetization, μB/f.u.: 0.0
DOS(E_F), states/eV/atom: 0.5604
Total DFT energy (no corrections), eV/atom: -2.7410

A relaxed structure of U3Tl3Te8Pb. Source: the Alexandria database, functional PBE.

Cell lengths 9.608, 9.608, 9.608 Å; angles 55.77, 55.77, 55.77 degrees
Element x y z (fractional)
U: 0.000 0.500 0.500
U: 0.500 0.000 0.500
U: 0.500 0.500 0.000
Tl: 0.000 0.000 0.500
Tl: 0.000 0.500 0.000
Tl: 0.500 0.000 0.000
Te: 0.249 0.249 0.719
Te: 0.249 0.719 0.249
Te: 0.262 0.262 0.262
Te: 0.281 0.751 0.751
Te: 0.719 0.249 0.249
Te: 0.738 0.738 0.738
Te: 0.751 0.281 0.751
Te: 0.751 0.751 0.281
Pb: 0.000 0.000 0.000

Summary:
Crystal system: trigonal
Mass density, kg/m³: 7501
Volume, Å³/atom: 37.7
E_form (uncorrected), meV per atom: -518.2
Space group: R-3m (166)
Total magnetization, μB/f.u.: 7.0
DOS(E_F), states/eV/atom: 0.9684
Total DFT energy (no corrections), eV/atom: -5.1719

A relaxed structure of SmHo3Tm3. Source: the Alexandria database, functional PBE.

Cell lengths 9.499, 9.499, 5.604 Å; angles 90.00, 90.00, 120.00 degrees
Element x y z (fractional)
Sm: 0.333 0.667 0.250
Sm: 0.667 0.333 0.750
Ho: 0.048 0.810 0.250
Ho: 0.190 0.238 0.250
Ho: 0.238 0.048 0.750
Ho: 0.762 0.952 0.250
Ho: 0.810 0.762 0.750
Ho: 0.952 0.190 0.750
Tm: 0.095 0.619 0.750
Tm: 0.381 0.477 0.750
Tm: 0.477 0.095 0.250
Tm: 0.523 0.905 0.750
Tm: 0.619 0.523 0.250
Tm: 0.905 0.381 0.250

Summary:
Crystal system: hexagonal
Mass density, kg/m³: 8736
Volume, Å³/atom: 31.3
Space group: P6_3/m (176)
Total magnetization, μB/f.u.: 0.0
Distance to the lowest polymorph of the same formula, eV per atom: 0.000
DOS(E_F), states/eV/atom: 1.9945
Total DFT energy (no corrections), eV/atom: -4.5457

A relaxed structure of V3HPd. Source: the Alexandria database, functional PBE.

Cell lengths 4.803, 4.803, 4.803 Å; angles 90.00, 90.00, 90.00 degrees
Element x y z (fractional)
V: 0.000 0.000 0.500
V: 0.000 0.500 0.000
V: 0.500 0.000 0.000
H: 0.500 0.500 0.500
Pd: 0.000 0.000 0.000

Summary:
Crystal system: cubic
Mass density, kg/m³: 3900
Volume, Å³/atom: 22.2
Space group: Pm-3m (221)
Total magnetization, μB/f.u.: 7.6
Distance to the lowest polymorph of the same formula, eV per atom: 1.852
DOS(E_F), states/eV/atom: 1.5415
Total DFT energy (no corrections), eV/atom: -5.4282

A relaxed structure of GaFe3Ir. Source: the Alexandria database, functional PBE.

Cell lengths 4.867, 4.867, 4.867 Å; angles 90.00, 90.00, 90.00 degrees
Element x y z (fractional)
Ga: 0.000 0.000 0.000
Fe: 0.000 0.500 0.500
Fe: 0.500 0.000 0.500
Fe: 0.500 0.500 0.000
Ir: 0.500 0.500 0.500

Summary:
Crystal system: cubic
Mass density, kg/m³: 6185
Volume, Å³/atom: 23.1
Space group: Pm-3m (221)
Total magnetization, μB/f.u.: 10.7
Distance to the lowest polymorph of the same formula, eV per atom: 0.530
DOS(E_F), states/eV/atom: 0.9115
Total DFT energy (no corrections), eV/atom: -6.2740

A relaxed structure of Sr6CeO8. Source: the Alexandria database, functional PBE.

Cell lengths 7.325, 7.325, 7.325 Å; angles 60.00, 60.00, 60.00 degrees
Element x y z (fractional)
Sr: 0.000 0.000 0.500
Sr: 0.000 0.500 0.000
Sr: 0.000 0.500 0.500
Sr: 0.500 0.000 0.000
Sr: 0.500 0.000 0.500
Sr: 0.500 0.500 0.000
Ce: 0.000 0.000 0.000
O: 0.220 0.220 0.780
O: 0.220 0.780 0.220
O: 0.220 0.780 0.780
O: 0.250 0.250 0.250
O: 0.750 0.750 0.750
O: 0.780 0.220 0.220
O: 0.780 0.220 0.780
O: 0.780 0.780 0.220

Summary:
Crystal system: cubic
Mass density, kg/m³: 4743
Volume, Å³/atom: 18.5
E_form (uncorrected), meV per atom: -2876.8
Space group: Fm-3m (225)
Total magnetization, μB/f.u.: 0.0
DOS(E_F), states/eV/atom: 0.0000
Total DFT energy (no corrections), eV/atom: -6.5895

A relaxed structure of Y7Tl2Co2. Source: the Alexandria database, functional PBE.

Cell lengths 6.801, 6.801, 7.032 Å; angles 90.00, 90.00, 109.05 degrees
Element x y z (fractional)
Y: 0.000 0.000 0.000
Y: 0.000 0.500 0.241
Y: 0.000 0.500 0.759
Y: 0.500 0.000 0.241
Y: 0.500 0.000 0.759
Y: 0.500 0.500 0.231
Y: 0.500 0.500 0.769
Tl: 0.184 0.184 0.500
Tl: 0.816 0.816 0.500
Co: 0.293 0.707 0.000
Co: 0.707 0.293 0.000

Summary:
Crystal system: orthorhombic
Mass density, kg/m³: 6207
Volume, Å³/atom: 27.9
Space group: Cmmm (65)
Total magnetization, μB/f.u.: 0.0
DOS(E_F), states/eV/atom: 0.9986
Total DFT energy (no corrections), eV/atom: -5.9789

A relaxed structure of Zr2CuH2. Source: the Alexandria database, functional PBE.

Cell lengths 6.474, 6.474, 2.906 Å; angles 90.00, 90.00, 90.00 degrees
Element x y z (fractional)
Zr: 0.170 0.330 0.000
Zr: 0.330 0.830 0.000
Zr: 0.670 0.170 0.000
Zr: 0.830 0.670 0.000
Cu: 0.000 0.000 0.500
Cu: 0.500 0.500 0.500
H: 0.123 0.623 0.500
H: 0.377 0.123 0.500
H: 0.623 0.877 0.500
H: 0.877 0.377 0.500

Summary:
Crystal system: tetragonal
Mass density, kg/m³: 6762
Volume, Å³/atom: 12.2
Space group: P4/mbm (127)
Total magnetization, μB/f.u.: 0.0
Distance to the lowest polymorph of the same formula, eV per atom: 0.301
DOS(E_F), states/eV/atom: 0.6842
Total DFT energy (no corrections), eV/atom: -5.6374

A relaxed structure of CoReBr2. Source: the Alexandria database, functional PBE.

Cell lengths 6.331, 6.331, 6.331 Å; angles 145.89, 145.89, 49.01 degrees
Element x y z (fractional)
Co: 0.000 0.000 0.000
Re: 0.250 0.750 0.500
Br: 0.500 0.500 0.000
Br: 0.750 0.250 0.500

Summary:
Crystal system: tetragonal
Mass density, kg/m³: 8465
Volume, Å³/atom: 19.9
E_form (uncorrected), meV per atom: 1419.8
Space group: I-4m2 (119)
Total magnetization, μB/f.u.: 5.1
Distance to the lowest polymorph of the same formula, eV per atom: 1.112
DOS(E_F), states/eV/atom: 0.9735
Total DFT energy (no corrections), eV/atom: -4.3051

A relaxed structure of AcTb3B. Source: the Alexandria database, functional PBE.

Cell lengths 5.265, 5.265, 5.265 Å; angles 90.00, 90.00, 90.00 degrees
Element x y z (fractional)
Ac: 0.000 0.000 0.000
Tb: 0.000 0.500 0.500
Tb: 0.500 0.000 0.500
Tb: 0.500 0.500 0.000
B: 0.500 0.500 0.500

Summary:
Crystal system: cubic
Mass density, kg/m³: 8128
Volume, Å³/atom: 29.2
Space group: Pm-3m (221)
Total magnetization, μB/f.u.: 0.0
DOS(E_F), states/eV/atom: 1.1949
Total DFT energy (no corrections), eV/atom: -4.8779

A relaxed structure of BaAu3I. Source: the Alexandria database, functional PBE.

Cell lengths 5.544, 5.544, 5.544 Å; angles 90.00, 90.00, 90.00 degrees
Element x y z (fractional)
Ba: 0.000 0.000 0.000
Au: 0.000 0.500 0.500
Au: 0.500 0.000 0.500
Au: 0.500 0.500 0.000
I: 0.500 0.500 0.500

Summary:
Crystal system: cubic
Mass density, kg/m³: 8334
Volume, Å³/atom: 34.1
E_form (uncorrected), meV per atom: 110.1
Space group: Pm-3m (221)
Total magnetization, μB/f.u.: 0.0
Distance to the lowest polymorph of the same formula, eV per atom: 0.000
DOS(E_F), states/eV/atom: 0.7057
Total DFT energy (no corrections), eV/atom: -2.5509

A relaxed structure of NbHg. Source: the Alexandria database, functional PBE.

Cell lengths 4.352, 4.352, 4.352 Å; angles 60.00, 60.00, 60.00 degrees
Element x y z (fractional)
Nb: 0.000 0.000 0.000
Hg: 0.750 0.750 0.750

Summary:
Crystal system: cubic
Mass density, kg/m³: 8359
Volume, Å³/atom: 29.2
Space group: F-43m (216)
Total magnetization, μB/f.u.: 0.0
DOS(E_F), states/eV/atom: 1.1176
Total DFT energy (no corrections), eV/atom: -3.4716

A relaxed structure of Al2AgPb. Source: the Alexandria database, functional PBE.

Cell lengths 5.230, 5.230, 3.300 Å; angles 90.00, 90.00, 109.13 degrees
Element x y z (fractional)
Al: 0.000 0.500 0.000
Al: 0.500 0.000 0.000
Ag: 0.000 0.000 0.500
Pb: 0.500 0.500 0.500

Summary:
Crystal system: orthorhombic
Mass density, kg/m³: 7186
Volume, Å³/atom: 21.3
Space group: Cmmm (65)
Total magnetization, μB/f.u.: 0.0
DOS(E_F), states/eV/atom: 0.4308
Total DFT energy (no corrections), eV/atom: -3.2560

A relaxed structure of BaFeAg4. Source: the Alexandria database, functional PBE.

Cell lengths 5.735, 5.735, 5.735 Å; angles 60.00, 60.00, 60.00 degrees
Element x y z (fractional)
Ba: 0.000 0.000 0.000
Fe: 0.750 0.750 0.750
Ag: 0.376 0.376 0.376
Ag: 0.376 0.376 0.871
Ag: 0.376 0.871 0.376
Ag: 0.871 0.376 0.376

Summary:
Crystal system: cubic
Mass density, kg/m³: 7775
Volume, Å³/atom: 22.2
Space group: F-43m (216)
Total magnetization, μB/f.u.: 2.8
DOS(E_F), states/eV/atom: 0.9353
Total DFT energy (no corrections), eV/atom: -3.3540

A relaxed structure of PtC2S. Source: the Alexandria database, functional PBE.

Cell lengths 5.245, 5.245, 5.245 Å; angles 126.38, 126.38, 79.26 degrees
Element x y z (fractional)
Pt: 0.000 0.000 0.000
Pt: 0.750 0.250 0.500
C: 0.175 0.625 0.050
C: 0.375 0.425 0.550
C: 0.575 0.125 0.950
C: 0.875 0.825 0.450
S: 0.250 0.750 0.500
S: 0.500 0.500 0.000

Summary:
Crystal system: tetragonal
Mass density, kg/m³: 9224
Volume, Å³/atom: 11.3
E_form (uncorrected), meV per atom: 1268.3
Space group: I-42d (122)
Total magnetization, μB/f.u.: 0.0
DOS(E_F), states/eV/atom: 0.1544
Total DFT energy (no corrections), eV/atom: -5.8858

A relaxed structure of Na2LaNi2. Source: the Alexandria database, functional PBE.

Cell lengths 6.690, 6.690, 5.179 Å; angles 90.00, 90.00, 90.00 degrees
Element x y z (fractional)
Na: 0.156 0.344 0.000
Na: 0.344 0.844 0.000
Na: 0.656 0.156 0.000
Na: 0.844 0.656 0.000
La: 0.000 0.000 0.500
La: 0.500 0.500 0.500
Ni: 0.122 0.622 0.500
Ni: 0.378 0.122 0.500
Ni: 0.622 0.878 0.500
Ni: 0.878 0.378 0.500

Summary:
Crystal system: tetragonal
Mass density, kg/m³: 4330
Volume, Å³/atom: 23.2
Space group: P4/mbm (127)
Total magnetization, μB/f.u.: 0.0
Distance to the lowest polymorph of the same formula, eV per atom: 0.118
DOS(E_F), states/eV/atom: 0.6873
Total DFT energy (no corrections), eV/atom: -3.6085

A relaxed structure of Nd2CuSn3. Source: the Alexandria database, functional PBE.

Cell lengths 4.325, 4.601, 7.989 Å; angles 90.00, 90.00, 90.00 degrees
Element x y z (fractional)
Nd: 0.000 0.000 0.000
Nd: 0.000 0.500 0.498
Cu: 0.500 0.000 0.312
Sn: 0.500 0.000 0.628
Sn: 0.500 0.500 0.189
Sn: 0.500 0.500 0.838

Summary:
Crystal system: orthorhombic
Mass density, kg/m³: 7398
Volume, Å³/atom: 26.5
Space group: Pmm2 (25)
Total magnetization, μB/f.u.: 0.0
DOS(E_F), states/eV/atom: 0.6132
Total DFT energy (no corrections), eV/atom: -4.7884

A relaxed structure of Tl3GaPb4. Source: the Alexandria database, functional PBE.

Cell lengths 3.603, 3.603, 18.269 Å; angles 90.00, 90.00, 90.00 degrees
Element x y z (fractional)
Tl: 0.000 0.000 0.000
Tl: 0.000 0.000 0.259
Tl: 0.000 0.000 0.741
Ga: 0.000 0.000 0.500
Pb: 0.500 0.500 0.128
Pb: 0.500 0.500 0.397
Pb: 0.500 0.500 0.603
Pb: 0.500 0.500 0.872

Summary:
Crystal system: tetragonal
Mass density, kg/m³: 10587
Volume, Å³/atom: 29.6
Space group: P4/mmm (123)
Total magnetization, μB/f.u.: 0.0
DOS(E_F), states/eV/atom: 0.3636
Total DFT energy (no corrections), eV/atom: -3.1040

A relaxed structure of Y2Zn2Te. Source: the Alexandria database, functional PBE.

Cell lengths 7.965, 7.965, 4.178 Å; angles 90.00, 90.00, 90.00 degrees
Element x y z (fractional)
Y: 0.168 0.332 0.000
Y: 0.332 0.832 0.000
Y: 0.668 0.168 0.000
Y: 0.832 0.668 0.000
Zn: 0.123 0.623 0.500
Zn: 0.377 0.123 0.500
Zn: 0.623 0.877 0.500
Zn: 0.877 0.377 0.500
Te: 0.000 0.000 0.000
Te: 0.500 0.500 0.000

Summary:
Crystal system: tetragonal
Mass density, kg/m³: 5465
Volume, Å³/atom: 26.5
E_form (uncorrected), meV per atom: -442.0
Space group: P4/mbm (127)
Total magnetization, μB/f.u.: 0.0
Distance to the lowest polymorph of the same formula, eV per atom: 0.330
DOS(E_F), states/eV/atom: 1.3570
Total DFT energy (no corrections), eV/atom: -4.1655